[1]
HfAlCu: optimized geometry, PBE.

Summary:
The calculation puts the density at 9.0 g cm⁻³. As for the magnetic moment: 0.0 μB/cell. For the energy of formation, the calculation gives -0.354 eV/atom.

```
HfAlCu
1.0
4.265 0.000 0.000
0.000 6.298 0.000
0.000 0.000 7.404
Hf Al Cu
4 4 4
direct
0.000 0.000 0.000
0.000 0.500 0.020
0.500 0.000 0.520
0.500 0.500 0.500
0.000 0.241 0.344
0.000 0.759 0.344
0.500 0.259 0.844
0.500 0.741 0.844
0.000 0.271 0.677
0.000 0.729 0.677
0.500 0.229 0.177
0.500 0.771 0.177
```

[2]
Hf3AlCu: optimized geometry, PBE.

Summary:
The calculation puts the density at 9.3 g cm⁻³. As for the magnetic moment: 0.0 μB/cell. For the energy of formation, the calculation gives 0.412 eV/atom. The distance to the lowest polymorph of the same formula is 0.00 eV/f.u.

```
Hf3AlCu
1.0
4.824 0.000 0.000
0.000 4.824 0.000
0.000 0.000 4.824
Hf Al Cu
3 1 1
direct
0.000 0.000 0.500
0.000 0.500 0.000
0.500 0.000 0.000
0.500 0.500 0.500
0.000 0.000 0.000
```

[3]
HfAlCu: optimized geometry, PBE.

Summary:
The calculation puts the density at 8.9 g cm⁻³. As for the magnetic moment: 0.0 μB/cell. For the energy of formation, the calculation gives -0.306 eV/atom.

```
HfAlCu
1.0
10.998 0.000 0.000
0.000 3.289 0.000
-4.444 0.000 5.535
Hf Al Cu
4 4 4
direct
0.095 0.000 0.327
0.405 0.500 0.673
0.595 0.500 0.327
0.905 0.000 0.673
0.146 0.500 0.707
0.354 0.000 0.293
0.646 0.000 0.707
0.854 0.500 0.293
0.138 0.500 0.057
0.362 0.000 0.943
0.638 0.000 0.057
0.862 0.500 0.943
```

[4]
HfAlCu5: optimized geometry, PBE.

Summary:
The calculation puts the density at 9.0 g cm⁻³. As for the magnetic moment: 0.0 μB/cell. For the energy of formation, the calculation gives -0.170 eV/atom.

```
HfAlCu5
1.0
7.865 0.000 0.000
0.000 4.849 0.000
0.000 0.000 10.103
Hf Al Cu
4 4 20
direct
0.250 0.250 0.062
0.250 0.750 0.562
0.750 0.250 0.438
0.750 0.750 0.938
0.144 0.250 0.353
0.356 0.750 0.853
0.644 0.250 0.147
0.856 0.750 0.647
0.056 0.250 0.583
0.065 0.508 0.806
0.065 0.992 0.806
0.095 0.750 0.018
0.186 0.750 0.253
0.314 0.250 0.753
0.405 0.250 0.518
0.435 0.008 0.306
0.435 0.492 0.306
0.444 0.750 0.083
0.556 0.250 0.917
0.565 0.508 0.694
0.565 0.992 0.694
0.595 0.750 0.482
0.686 0.750 0.247
0.814 0.250 0.747
0.905 0.250 0.982
0.935 0.008 0.194
0.935 0.492 0.194
0.944 0.750 0.417
```

[5]
Hf2Al3Cu: optimized geometry, PBE.

Summary:
The calculation puts the density at 8.3 g cm⁻³. As for the magnetic moment: 0.0 μB/cell. For the energy of formation, the calculation gives -0.442 eV/atom. The distance to the lowest polymorph of the same formula is 0.03 eV/f.u.

```
Hf2Al3Cu
1.0
5.294 0.000 0.000
-2.647 4.585 0.000
0.000 0.000 8.233
Hf Al Cu
4 6 2
direct
0.333 0.667 0.070
0.333 0.667 0.430
0.667 0.333 0.570
0.667 0.333 0.930
0.169 0.338 0.750
0.169 0.831 0.750
0.338 0.169 0.250
0.662 0.831 0.750
0.831 0.169 0.250
0.831 0.662 0.250
0.000 0.000 0.000
0.000 0.000 0.500
```

[6]
HfAlCu: optimized geometry, PBE.

Summary:
The calculation puts the density at 9.1 g cm⁻³. As for the magnetic moment: 0.0 μB/cell. For the energy of formation, the calculation gives -0.227 eV/atom.

```
HfAlCu
1.0
3.054 0.000 0.000
0.001 5.859 0.000
1.525 1.529 5.500
Hf Al Cu
2 2 2
direct
0.010 0.254 0.482
0.990 0.746 0.518
0.314 0.376 0.873
0.686 0.624 0.127
0.326 0.928 0.848
0.674 0.072 0.152
```

[7]
HfAlCu: optimized geometry, PBE.

Summary:
The calculation puts the density at 8.8 g cm⁻³. As for the magnetic moment: 0.0 μB/cell. For the energy of formation, the calculation gives -0.209 eV/atom.

```
HfAlCu
1.0
2.932 0.000 0.000
0.000 4.246 0.000
-0.093 0.000 8.199
Hf Al Cu
2 2 2
direct
0.005 0.000 0.186
0.995 0.000 0.814
0.500 0.000 0.500
0.500 0.500 0.000
0.486 0.500 0.670
0.514 0.500 0.330
```

[8]
Hf2Al2Cu: optimized geometry, PBE.

Summary:
The calculation puts the density at 8.9 g cm⁻³. As for the magnetic moment: 0.0 μB/cell. For the energy of formation, the calculation gives -0.241 eV/atom. The distance to the lowest polymorph of the same formula is 0.39 eV/f.u.

```
Hf2Al2Cu
1.0
1.860 -8.584 0.000
1.860 8.584 0.000
0.000 0.000 5.519
Hf Al Cu
4 4 2
direct
0.007 0.993 0.500
0.218 0.782 0.469
0.782 0.218 0.969
0.993 0.007 0.000
0.161 0.839 0.954
0.392 0.608 0.740
0.608 0.392 0.240
0.839 0.161 0.454
0.389 0.611 0.213
0.611 0.389 0.713
```

[9]
Hf6Al3Cu: optimized geometry, PBE.

Summary:
The calculation puts the density at 9.9 g cm⁻³. As for the magnetic moment: 0.0 μB/cell. For the energy of formation, the calculation gives -0.022 eV/atom.

```
Hf6Al3Cu
1.0
5.533 0.000 0.000
0.000 7.795 0.000
-5.369 0.000 9.441
Hf Al Cu
12 6 2
direct
0.049 0.168 0.451
0.049 0.332 0.951
0.359 0.678 0.449
0.359 0.822 0.949
0.427 0.054 0.256
0.427 0.446 0.756
0.573 0.554 0.244
0.573 0.946 0.744
0.641 0.178 0.051
0.641 0.322 0.551
0.951 0.668 0.049
0.951 0.832 0.549
0.000 0.000 0.000
0.000 0.500 0.500
0.120 0.114 0.755
0.120 0.386 0.255
0.880 0.614 0.745
0.880 0.886 0.245
0.500 0.000 0.500
0.500 0.500 0.000
```

[10]
HfAlCu: optimized geometry, PBE.

Summary:
The calculation puts the density at 9.1 g cm⁻³. As for the magnetic moment: 0.0 μB/cell. For the energy of formation, the calculation gives -0.316 eV/atom.

```
HfAlCu
1.0
4.223 0.000 0.000
0.000 10.988 0.000
0.000 0.000 4.230
Hf Al Cu
4 4 4
direct
0.000 0.099 0.250
0.000 0.901 0.750
0.500 0.401 0.750
0.500 0.599 0.250
0.000 0.404 0.250
0.000 0.596 0.750
0.500 0.096 0.750
0.500 0.904 0.250
0.000 0.249 0.750
0.000 0.751 0.250
0.500 0.251 0.250
0.500 0.749 0.750
```

[11]
HfAlCu2: optimized geometry, PBE.

Summary:
The calculation puts the density at 9.2 g cm⁻³. As for the magnetic moment: 0.0 μB/cell. For the energy of formation, the calculation gives -0.192 eV/atom.

```
HfAlCu2
1.0
2.976 0.000 0.000
0.000 2.976 0.000
0.000 0.000 6.784
Hf Al Cu
1 1 2
direct
0.000 0.000 0.000
0.000 0.000 0.500
0.500 0.500 0.280
0.500 0.500 0.720
```

[12]
Hf3Al6Cu5: optimized geometry, PBE.

Summary:
The calculation puts the density at 7.7 g cm⁻³. As for the magnetic moment: 0.0 μB/cell. For the energy of formation, the calculation gives -0.327 eV/atom.

```
Hf3Al6Cu5
1.0
4.056 0.000 0.000
0.000 11.813 0.000
0.000 0.000 9.090
Hf Al Cu
6 12 10
direct
0.250 0.043 0.250
0.250 0.457 0.250
0.250 0.750 0.243
0.750 0.250 0.757
0.750 0.543 0.750
0.750 0.957 0.750
0.250 0.082 0.898
0.250 0.250 0.085
0.250 0.250 0.438
0.250 0.418 0.898
0.250 0.596 0.524
0.250 0.904 0.524
0.750 0.096 0.476
0.750 0.404 0.476
0.750 0.582 0.102
0.750 0.750 0.562
0.750 0.750 0.915
0.750 0.918 0.102
0.250 0.103 0.632
0.250 0.397 0.632
0.250 0.626 0.964
0.250 0.750 0.731
0.250 0.874 0.964
0.750 0.126 0.036
0.750 0.250 0.269
0.750 0.374 0.036
0.750 0.603 0.368
0.750 0.897 0.368
```